1.
Density functional theory data (PBE) for Dy2Ge6Pd after structural relaxation.

Properties
As for the relative energy among the computed polymorphs: 0.00 eV/f.u.

Geometry as CIF:
```
data_Dy2Ge6Pd
_chemical_formula_sum 'Dy16 Ge48 Pd8'
_symmetry_space_group_name_H-M 'C m c e'
_symmetry_Int_Tables_number 64
_symmetry_space_group_name_Hall '-C 2ac 2'
_cell_length_a 8.219
_cell_length_b 8.127
_cell_length_c 21.659
_cell_angle_alpha 90.00
_cell_angle_beta 90.00
_cell_angle_gamma 90.00
loop_
_atom_site_label
_atom_site_type_symbol
_atom_site_fract_x
_atom_site_fract_y
_atom_site_fract_z
_atom_site_occupancy
Dy1 Dy 0.249 0.124 0.081 1
Ge1 Ge 0.000 0.095 0.307 1
Ge2 Ge 0.000 0.119 0.543 1
Ge3 Ge 0.000 0.132 0.972 1
Ge4 Ge 0.000 0.153 0.192 1
Ge5 Ge 0.223 0.126 0.693 1
Pd1 Pd 0.000 0.127 0.858 1
```

---

2.
Density functional theory data (PBE) for TaNbAs after structural relaxation.

Properties
The total energy comes out at -0.3201 hartree per atom.

Geometry as CIF:
```
data_TaNbAs
_chemical_formula_sum 'Ta4 Nb4 As4'
_symmetry_space_group_name_H-M 'F -4 3 m'
_symmetry_Int_Tables_number 216
_symmetry_space_group_name_Hall 'F -4 2 3'
_cell_length_a 6.117
_cell_length_b 6.117
_cell_length_c 6.117
_cell_angle_alpha 90.00
_cell_angle_beta 90.00
_cell_angle_gamma 90.00
loop_
_atom_site_label
_atom_site_type_symbol
_atom_site_fract_x
_atom_site_fract_y
_atom_site_fract_z
_atom_site_occupancy
Ta1 Ta 0.000 0.000 0.000 1
Nb1 Nb 0.000 0.000 0.500 1
As1 As 0.250 0.250 0.750 1
```

---

3.
Density functional theory data (PBE) for RbErSO after structural relaxation.

Properties
As for the relative energy among the computed polymorphs: 0.00 eV/f.u.

Geometry as CIF:
```
data_RbErSO
_chemical_formula_sum 'Rb4 Er4 S4 O4'
_symmetry_space_group_name_H-M 'P 1 21/c 1'
_symmetry_Int_Tables_number 14
_cell_length_a 7.803
_cell_length_b 7.260
_cell_length_c 6.458
_cell_angle_alpha 90.00
_cell_angle_beta 103.37
_cell_angle_gamma 90.00
loop_
_symmetry_equiv_pos_as_xyz
'x,y,z'
'-x,-y,-z'
'-x,y+1/2,-z+1/2'
'x,-y+1/2,z+1/2'
loop_
_atom_site_label
_atom_site_type_symbol
_atom_site_fract_x
_atom_site_fract_y
_atom_site_fract_z
_atom_site_occupancy
Rb1 Rb 0.081 0.235 0.000 1
Er1 Er 0.477 0.627 0.274 1
S1 S 0.264 0.594 0.857 1
O1 O 0.399 0.145 0.880 1
```

---

4.
Density functional theory data (PBE) for NaAlPt2 after structural relaxation.

Properties
The total energy comes out at -0.1840 hartree per atom.

Geometry as CIF:
```
data_NaAlPt2
_chemical_formula_sum 'Na1 Al1 Pt2'
_symmetry_space_group_name_H-M 'P 4/m m m'
_symmetry_Int_Tables_number 123
_symmetry_space_group_name_Hall '-P 4 2'
_cell_length_a 2.910
_cell_length_b 2.910
_cell_length_c 7.808
_cell_angle_alpha 90.00
_cell_angle_beta 90.00
_cell_angle_gamma 90.00
loop_
_atom_site_label
_atom_site_type_symbol
_atom_site_fract_x
_atom_site_fract_y
_atom_site_fract_z
_atom_site_occupancy
Na1 Na 0.000 0.000 0.000 1
Al1 Al 0.000 0.000 0.500 1
Pt1 Pt 0.500 0.500 0.298 1
```